<1>
Compound: In2TeAu2
Source: Alexandria
Functional: PBE-GGA
Structure: relaxed

Lattice parameters (Å, degrees): 8.7455 8.7455 3.1012 90.00 90.00 90.00
Last column: nearest neighbours and their distance in Å.
Space group P4/mbm (No. 127)
Asymmetric unit:
In  0.1897  0.3103  0.0000 x4  6 Au 2.90-3.13, 2 In 3.10, 2 Te 3.18
Te  0.0000  0.0000  0.0000 x2  2 Te 3.10, 4 In 3.18
Au  0.1118  0.6118  0.5000 x4  1 Au 2.77, 2 In 2.90

Values from the calculation:
The value obtained for the density of states at the Fermi level is 3.40 states/eV/cell.

---

<2>
Compound: In2TeAu2
Source: Alexandria
Functional: PBE-GGA
Structure: relaxed

Lattice parameters (Å, degrees): 4.4395 4.4395 12.5001 90.00 90.00 90.00
Last column: nearest neighbours and their distance in Å.
Space group I4/mmm (No. 139)
Asymmetric unit:
In  0.0000  0.5000  0.2500 x4  4 Au 2.83, 4 In 3.14
Te  0.0000  0.0000  0.0000 x2  8 Au 3.42
Au  0.0000  0.0000  0.3910 x4  1 Au 2.72, 4 In 2.83

Values from the calculation:
The value obtained for the density of states at the Fermi level is 5.38 states/eV/cell.

---

Least stable = <2>

---

<1>
Compound: InTe2Au2
Source: Alexandria
Functional: PBE-GGA
Structure: relaxed

Lattice parameters (Å, degrees): 4.6087 4.6087 12.8408 90.00 90.00 90.00
Last column: nearest neighbours and their distance in Å.
Space group I4/mmm (No. 139)
Asymmetric unit:
In  0.0000  0.0000  0.0000 x2  8 Au 3.52
Te  0.0000  0.5000  0.2500 x4  4 Au 2.98, 4 Te 3.26
Au  0.0000  0.0000  0.3967 x4  1 Au 2.65

Values from the calculation:
The value obtained for the density of states at the Fermi level is 4.04 states/eV/cell.

---

<2>
Compound: InTe2Au2
Source: Alexandria
Functional: PBE-GGA
Structure: relaxed

Lattice parameters (Å, degrees): 4.1187 4.1187 15.6030 90.00 90.00 90.00
Last column: nearest neighbours and their distance in Å.
Space group I4/mmm (No. 139)
Asymmetric unit:
In  0.0000  0.0000  0.0000 x2  8 Te 3.45
Te  0.0000  0.0000  0.3817 x4  4 Au 2.91
Au  0.0000  0.5000  0.2500 x4  4 Te 2.91, 4 Au 2.91

Values from the calculation:
The value obtained for the density of states at the Fermi level is 4.26 states/eV/cell.

---

Least stable = <1>

---

<1>
Compound: InTe2Au2
Source: Alexandria
Functional: PBE-GGA
Structure: relaxed

Lattice parameters (Å, degrees): 8.3793 8.3793 3.6579 90.00 90.00 90.00
Last column: nearest neighbours and their distance in Å.
Space group P4/mbm (No. 127)
Asymmetric unit:
In  0.0000  0.0000  0.0000 x2  4 Te 3.05
Te  0.1903  0.3097  0.0000 x4  6 Au 2.91-3.23, 2 In 3.05
Au  0.1189  0.6189  0.5000 x4  1 Au 2.82, 2 Te 2.91

Values from the calculation:
The value obtained for the density of states at the Fermi level is 6.91 states/eV/cell.

---

<2>
Compound: InTe2Au2
Source: Alexandria
Functional: PBE-GGA
Structure: relaxed

Lattice parameters (Å, degrees): 7.9735 7.9735 3.8993 90.00 90.00 90.00
Last column: nearest neighbours and their distance in Å.
Space group P4/mbm (No. 127)
Asymmetric unit:
In  0.0000  0.0000  0.0000 x2  4 Au 3.16, 8 Te 3.50
Te  0.1863  0.3137  0.5000 x4  6 Au 2.90-3.19
Au  0.1238  0.6238  0.0000 x4  1 Au 2.79, 2 Te 2.90

Values from the calculation:
The value obtained for the density of states at the Fermi level is 7.33 states/eV/cell.

---

Least stable = <1>

---

<1>
Compound: ThInAu3
Source: Alexandria
Functional: PBE-GGA
Structure: relaxed

Lattice parameters (Å, degrees): 3.4917 27.1278 4.7772 90.00 90.00 90.00
Last column: nearest neighbours and their distance in Å.
Space group Cmcm (No. 63)
Asymmetric unit:
Th  0.0000  0.0774  0.2500 x4  12 Au 3.24-3.36, 2 Th 3.49
In  0.0000  0.2128  0.7500 x4  7 Au 2.82-3.07
Au  0.0000  0.3167  0.7500 x4  5 In 2.82-3.07, 2 Au 2.84
Au  0.0000  0.3736  0.2500 x4  3 Au 2.75-2.84, 2 In 2.92
Au  0.0000  0.4750  0.2500 x4  3 Au 2.75

Values from the calculation:
The value obtained for the density of states at the Fermi level is 13.07 states/eV/cell.

---

<2>
Compound: ThInAu3
Source: Alexandria
Functional: PBE-GGA
Structure: relaxed

Lattice parameters (Å, degrees): 18.8282 4.7890 5.2236 90.00 90.10 90.00
Last column: nearest neighbours and their distance in Å.
Space group C2/m (No. 12)
Asymmetric unit:
Th  0.1076  0.0000  0.4984 x4  8 Au 3.05-3.40
In  0.1326  0.5000  0.9983 x4  6 Au 2.74-2.97
Au  0.0004  0.5000  0.2506 x4  2 Au 2.61-2.62, 2 In 2.82
Au  0.2037  0.0000  0.9993 x4  2 In 2.74, 2 Au 2.96
Au  0.2078  0.5000  0.4994 x4  4 Au 2.87-3.10, 2 In 2.97, 2 Th 3.05

Values from the calculation:
The value obtained for the density of states at the Fermi level is 10.37 states/eV/cell.

---

Least stable = <2>

---

<1>
Compound: Th4InAu
Source: Alexandria
Functional: PBE-GGA
Structure: relaxed

Lattice parameters (Å, degrees): 7.5552 7.5552 12.5691 90.00 90.00 90.00
Last column: nearest neighbours and their distance in Å.
Space group I4/mcm (No. 140)
Asymmetric unit:
Th  0.1540  0.3460  0.1371 x16  2 Au 3.19, 3 Th 3.29-3.50, 2 In 3.34
In  0.0000  0.0000  0.0000 x4  2 Au 3.14, 8 Th 3.34
Au  0.0000  0.0000  0.2500 x4  2 In 3.14, 8 Th 3.19

Values from the calculation:
The value obtained for the density of states at the Fermi level is 34.75 states/eV/cell.

---

<2>
Compound: Th4InAu
Source: Alexandria
Functional: PBE-GGA
Structure: relaxed

Lattice parameters (Å, degrees): 7.7248 7.7248 5.8785 90.00 90.00 90.00
Last column: nearest neighbours and their distance in Å.
Space group P4/mcc (No. 124)
Asymmetric unit:
Th  0.1493  0.3390  0.0000 x8  2 Au 3.22, 2 In 3.32, 3 Th 3.39-3.60
In  0.5000  0.5000  0.2500 x2  2 In 2.94
Au  0.0000  0.0000  0.2500 x2  2 Au 2.94, 8 Th 3.22

Values from the calculation:
The value obtained for the density of states at the Fermi level is 14.22 states/eV/cell.

---

Least stable = <1>

---

<1>
Compound: Ti4InAu
Source: Alexandria
Functional: PBE-GGA
Structure: relaxed

Lattice parameters (Å, degrees): 4.0316 13.1212 4.0408 90.00 90.00 90.00
Last column: nearest neighbours and their distance in Å.
Space group Cmmm (No. 65)
Asymmetric unit:
Ti  0.0000  0.1743  0.0000 x4  8 Ti 2.83-2.85, 2 Au 3.05, 2 In 3.05
Ti  0.0000  0.3260  0.5000 x4  8 Ti 2.84-2.85, 2 In 3.05, 2 Au 3.05
In  0.0000  0.0000  0.5000 x2  4 Au 2.85, 8 Ti 3.05
Au  0.0000  0.5000  0.0000 x2  4 In 2.85, 8 Ti 3.05

Values from the calculation:
The value obtained for the density of states at the Fermi level is 7.81 states/eV/cell.

---

<2>
Compound: Ti4InAu
Source: Alexandria
Functional: PBE-GGA
Structure: relaxed

Lattice parameters (Å, degrees): 4.6577 13.5278 7.5135 90.00 90.00 90.00
Last column: nearest neighbours and their distance in Å.
Space group Cmcm (No. 63)
Asymmetric unit:
Ti  0.0000  0.0000  0.0000 x4  6 Ti 2.97-3.26, 2 Au 3.06
Ti  0.0000  0.2141  0.0876 x8  1 Ti 2.44, 1 Au 2.58
Ti  0.0000  0.4041  0.2500 x4  2 Au 2.58, 1 In 2.76, 2 Ti 2.84
In  0.0000  0.3920  0.7500 x4  5 Ti 2.76-3.00, 1 Au 2.89
Au  0.0000  0.1785  0.7500 x4  4 Ti 2.58, 1 In 2.89

Values from the calculation:
The value obtained for the density of states at the Fermi level is 27.25 states/eV/cell.

---

Least stable = <2>